[1]
A plane-wave DFT calculation with PBE was carried out for a relaxed BaLiZr3 crystal.

Calculated values
crystal system = cubic
uncorrected energy = -4.1928 eV per atom
formation enthalpy at 0 K = 1.70 eV per atom
distance to the lowest polymorph of the same formula = 858 meV per atom

Cell lengths 5.368, 5.368, 5.368 Å; angles 90.00, 90.00, 90.00 degrees
Atoms (fractional coordinates):
Ba (0.000, 0.000, 0.000)
Li (0.500, 0.500, 0.500)
Zr (0.000, 0.000, 0.500)
Zr (0.000, 0.500, 0.000)
Zr (0.500, 0.000, 0.000)


[2]
A plane-wave DFT calculation with PBE was carried out for a relaxed Mn2TlIn crystal.

Calculated values
crystal system = tetragonal
uncorrected energy = -5.4584 eV per atom
formation enthalpy at 0 K = 0.40 eV per atom
distance to the lowest polymorph of the same formula = 11 meV per atom

Cell lengths 5.045, 5.045, 5.045 Å; angles 129.40, 129.40, 74.37 degrees
Atoms (fractional coordinates):
Mn (0.250, 0.750, 0.500)
Mn (0.750, 0.250, 0.500)
Tl (0.000, 0.000, 0.000)
In (0.500, 0.500, 0.000)


[3]
A plane-wave DFT calculation with PBE was carried out for a relaxed Th4PbAu crystal.

Calculated values
crystal system = tetragonal
uncorrected energy = -6.3077 eV per atom
formation enthalpy at 0 K = -0.20 eV per atom
distance to the lowest polymorph of the same formula = 98 meV per atom

Cell lengths 8.333, 8.333, 8.333 Å; angles 125.80, 125.80, 80.22 degrees
Atoms (fractional coordinates):
Th (0.015, 0.515, 0.809)
Th (0.207, 0.015, 0.500)
Th (0.293, 0.793, 0.809)
Th (0.485, 0.293, 0.500)
Th (0.515, 0.707, 0.500)
Th (0.707, 0.207, 0.191)
Th (0.793, 0.985, 0.500)
Th (0.985, 0.485, 0.191)
Pb (0.000, 0.000, 0.000)
Pb (0.500, 0.500, 0.000)
Au (0.250, 0.250, 0.000)
Au (0.750, 0.750, 0.000)


> Look up the uncorrected energy of the second one.

-5.4584 eV per atom


Repeat the first record exactly.
A plane-wave DFT calculation with PBE was carried out for a relaxed BaLiZr3 crystal.

Calculated values
crystal system = cubic
uncorrected energy = -4.1928 eV per atom
formation enthalpy at 0 K = 1.70 eV per atom
distance to the lowest polymorph of the same formula = 858 meV per atom

Cell lengths 5.368, 5.368, 5.368 Å; angles 90.00, 90.00, 90.00 degrees
Atoms (fractional coordinates):
Ba (0.000, 0.000, 0.000)
Li (0.500, 0.500, 0.500)
Zr (0.000, 0.000, 0.500)
Zr (0.000, 0.500, 0.000)
Zr (0.500, 0.000, 0.000)


> What is the formula in the third record?

Th4PbAu